Cd3GaRe (PBE, relaxed); formation enthalpy at 0 K = 1.36 eV/atom
1.0
-2.651 -3.846 1.876
2.261 0.616 4.455
-3.633 3.189 1.403
Cd Ga Re
3 1 1
Cartesian
-1.325 -1.923 0.938
1.130 0.308 2.227
-1.817 1.594 0.701
0.000 0.000 0.000
-2.012 -0.021 3.867